DyErCrCd (GGA-PBE, optimized geometry); total energy = -4.8969 eV/atom; energy of formation from the pure elements = 3 kJ/mol of atoms
1.0
-2.727 0.303 4.369
-4.181 -2.954 0.642
0.091 -3.902 3.374
Cd Dy Cr Er
1 1 1 1
Direct
0.250 0.250 0.250 Cd
0.500 0.500 0.500 Dy
0.750 0.750 0.750 Cr
0.000 0.000 0.000 Er

=====

LiAl2Ag (GGA-PBE, optimized geometry); total energy = -3.1849 eV/atom; distance to the lowest polymorph of the same formula = 16 meV per atom; energy of formation from the pure elements = -12 kJ/mol of atoms
1.0
-2.065 -4.232 -1.569
-0.451 -3.239 3.735
-1.297 4.766 -0.498
Al Ag Li
2 1 1
Direct
0.000 0.000 0.000 Al
0.500 0.500 0.000 Al
0.750 0.250 0.500 Ag
0.250 0.750 0.500 Li

=====

PrEuMg2 (GGA-PBE, optimized geometry); total energy = -4.6598 eV/atom; energy of formation from the pure elements = -10 kJ/mol of atoms
1.0
3.982 0.000 0.000
0.000 5.588 0.000
0.000 0.000 5.588
Eu Pr Mg
1 1 2
Direct
0.500 0.500 0.500 Eu
0.500 0.000 0.000 Pr
0.000 0.000 0.500 Mg
0.000 0.500 0.000 Mg

=====

Tm2H3Pb (GGA-PBE, optimized geometry); total energy = -4.3733 eV/atom
1.0
3.636 0.000 0.000
-1.818 7.147 0.179
0.000 -3.022 6.902
Tm H Pb
4 6 2
Direct
0.472 0.944 0.727 Tm
0.528 0.056 0.273 Tm
0.808 0.616 0.347 Tm
0.192 0.384 0.653 Tm
0.310 0.620 0.534 H
0.936 0.872 0.594 H
0.590 0.180 0.609 H
0.410 0.820 0.391 H
0.064 0.128 0.406 H
0.690 0.380 0.466 H
0.858 0.715 0.964 Pb
0.142 0.285 0.036 Pb

=====

Nd2TiTlO6 (GGA-PBE, optimized geometry); total energy = -7.4949 eV/atom; energy relative to the elements, uncorrected = -2540.3 meV per atom
1.0
5.378 0.000 0.000
0.000 5.506 0.000
0.000 0.000 5.506
Nd Ti Tl O
2 1 1 6
Direct
0.983 0.500 0.000 Nd
0.983 0.000 0.500 Nd
0.604 0.000 0.000 Ti
0.527 0.500 0.500 Tl
0.744 0.230 0.230 O
0.744 0.230 0.770 O
0.109 0.500 0.500 O
0.265 0.000 0.000 O
0.744 0.770 0.770 O
0.744 0.770 0.230 O

=====

PuSbAu (GGA-PBE, optimized geometry); total energy = -7.5965 eV/atom; energy relative to the elements, uncorrected = -352.6 meV per atom
1.0
3.752 0.000 0.000
0.000 3.752 0.000
-1.876 -1.876 5.198
Sb Au Pu
1 1 1
Direct
0.941 0.941 0.882 Sb
0.283 0.283 0.566 Au
0.626 0.626 0.252 Pu

=====

Be2TeRu (GGA-PBE, optimized geometry); total energy = -4.2009 eV/atom; energy relative to the elements, uncorrected = 766.6 meV per atom
1.0
-2.614 2.381 4.583
-5.068 -2.171 -1.762
-3.100 -3.477 3.694
Ru Te Be
2 2 4
Direct
0.500 0.500 0.000 Ru
0.250 0.750 0.500 Ru
0.000 0.000 0.000 Te
0.750 0.250 0.500 Te
0.597 0.125 0.250 Be
0.153 0.625 0.250 Be
0.375 0.403 0.750 Be
0.875 0.847 0.750 Be

=====

SiB2Ir2 (GGA-PBE, optimized geometry); total energy = -7.3371 eV/atom; energy relative to the elements, uncorrected = -37.2 meV per atom
1.0
3.935 0.000 0.000
0.000 3.935 0.000
1.967 1.967 3.761
Si Ir B
1 2 2
Direct
0.000 0.000 0.000 Si
0.750 0.250 0.500 Ir
0.250 0.750 0.500 Ir
0.389 0.389 0.223 B
0.611 0.611 0.777 B

=====

Which value of total energy does entry 4 give? -4.3733 eV/atom